Here is Zn3CrGe after structural relaxation from the Alexandria database. Energies are from PBE-GGA.

Lattice parameters (Å, degrees): 4.806 4.806 4.806 90.00 90.00 90.00
Element x y z (fractional)
Zn: 0.000 0.000 0.500
Ge: 0.500 0.500 0.500
Cr: 0.000 0.000 0.000
Zn: 0.000 0.500 0.000
Zn: 0.500 0.000 0.000

Summary:
M_tot = 3.37 μB/cell
E above lowest polymorph = 0 meV/atom
formation energy from the elements = 20.155 kcal/mol of atoms